(1)
Density functional theory data (GGA-PBE) for a geometry-optimized Li2NbAlH structure.

```
data_Li2NbAlH
_chemical_formula_sum 'Li2 Nb1 Al1 H1'
_cell_length_a 3.8822
_cell_length_b 3.8822
_cell_length_c 4.2251
_cell_angle_alpha 90.00
_cell_angle_beta 90.00
_cell_angle_gamma 90.00
_symmetry_space_group_name_H-M 'P 4/m m m'
_symmetry_Int_Tables_number 123
_symmetry_space_group_name_Hall '-P 4 2'
loop_
_atom_site_label
_atom_site_type_symbol
_atom_site_fract_x
_atom_site_fract_y
_atom_site_fract_z
Li1 Li 0.0000 0.5000 0.0000
Nb1 Nb 0.0000 0.0000 0.5000
Al1 Al 0.5000 0.5000 0.5000
H1 H 0.0000 0.0000 0.0000
```

Summary:
As for the electronic total energy: -4.331 eV per atom.


(2)
Density functional theory data (GGA-PBE) for a geometry-optimized LiNb2AlH structure.

```
data_LiNb2AlH
_chemical_formula_sum 'Li1 Nb2 Al1 H1'
_cell_length_a 3.9900
_cell_length_b 3.9900
_cell_length_c 4.3021
_cell_angle_alpha 90.00
_cell_angle_beta 90.00
_cell_angle_gamma 90.00
_symmetry_space_group_name_H-M 'P 4/m m m'
_symmetry_Int_Tables_number 123
_symmetry_space_group_name_Hall '-P 4 2'
loop_
_atom_site_label
_atom_site_type_symbol
_atom_site_fract_x
_atom_site_fract_y
_atom_site_fract_z
Li1 Li 0.0000 0.0000 0.0000
Nb1 Nb 0.0000 0.5000 0.5000
Al1 Al 0.5000 0.5000 0.0000
H1 H 0.0000 0.0000 0.5000
```

Summary:
As for the electronic total energy: -5.983 eV per atom.


(3)
Density functional theory data (GGA-PBE) for a geometry-optimized LiAlNi2H structure.

```
data_LiAlNi2H
_chemical_formula_sum 'Li1 Al1 Ni2 H1'
_cell_length_a 3.6512
_cell_length_b 3.6512
_cell_length_c 3.6088
_cell_angle_alpha 90.00
_cell_angle_beta 90.00
_cell_angle_gamma 90.00
_symmetry_space_group_name_H-M 'P 4/m m m'
_symmetry_Int_Tables_number 123
_symmetry_space_group_name_Hall '-P 4 2'
loop_
_atom_site_label
_atom_site_type_symbol
_atom_site_fract_x
_atom_site_fract_y
_atom_site_fract_z
Li1 Li 0.0000 0.0000 0.0000
Al1 Al 0.5000 0.5000 0.0000
Ni1 Ni 0.0000 0.5000 0.5000
H1 H 0.0000 0.0000 0.5000
```

Summary:
As for the electronic total energy: -4.470 eV per atom.


(4)
Density functional theory data (GGA-PBE) for a geometry-optimized Li2AlNiH structure.

```
data_Li2AlNiH
_chemical_formula_sum 'Li2 Al1 Ni1 H1'
_cell_length_a 3.7414
_cell_length_b 3.7414
_cell_length_c 3.7666
_cell_angle_alpha 90.00
_cell_angle_beta 90.00
_cell_angle_gamma 90.00
_symmetry_space_group_name_H-M 'P 4/m m m'
_symmetry_Int_Tables_number 123
_symmetry_space_group_name_Hall '-P 4 2'
loop_
_atom_site_label
_atom_site_type_symbol
_atom_site_fract_x
_atom_site_fract_y
_atom_site_fract_z
Li1 Li 0.0000 0.5000 0.0000
Al1 Al 0.0000 0.0000 0.5000
Ni1 Ni 0.5000 0.5000 0.5000
H1 H 0.5000 0.5000 0.0000
```

Summary:
As for the electronic total energy: -3.537 eV per atom.


(5)
Density functional theory data (GGA-PBE) for a geometry-optimized LiAl2H2O4 structure.

```
data_LiAl2H2O4
_chemical_formula_sum 'Li2 Al4 H4 O8'
_cell_length_a 2.8698
_cell_length_b 15.2874
_cell_length_c 3.7442
_cell_angle_alpha 90.00
_cell_angle_beta 90.00
_cell_angle_gamma 90.00
_symmetry_space_group_name_H-M 'I m m 2'
_symmetry_Int_Tables_number 44
loop_
_symmetry_equiv_pos_as_xyz
'x,y,z'
'-x,-y,z'
'-x,y,z'
'x,-y,z'
'x+1/2,y+1/2,z+1/2'
'-x+1/2,-y+1/2,z+1/2'
'-x+1/2,y+1/2,z+1/2'
'x+1/2,-y+1/2,z+1/2'
loop_
_atom_site_label
_atom_site_type_symbol
_atom_site_fract_x
_atom_site_fract_y
_atom_site_fract_z
Li1 Li 0.0000 0.0000 0.0000
Al1 Al 0.0000 0.1951 0.2068
H1 H 0.0000 0.4276 0.9269
O1 O 0.0000 0.2185 0.7074
O2 O 0.0000 0.3893 0.7029
```

Summary:
As for the electronic total energy: -5.965 eV per atom.


(6)
Density functional theory data (GGA-PBE) for a geometry-optimized LiAl2H2O4 structure.

```
data_LiAl2H2O4
_chemical_formula_sum 'Li2 Al4 H4 O8'
_cell_length_a 16.5276
_cell_length_b 2.9298
_cell_length_c 3.8306
_cell_angle_alpha 90.00
_cell_angle_beta 92.64
_cell_angle_gamma 90.00
_symmetry_space_group_name_H-M 'C 1 m 1'
_symmetry_Int_Tables_number 8
loop_
_symmetry_equiv_pos_as_xyz
'x,y,z'
'x,-y,z'
'x+1/2,y+1/2,z'
'x+1/2,-y+1/2,z'
loop_
_atom_site_label
_atom_site_type_symbol
_atom_site_fract_x
_atom_site_fract_y
_atom_site_fract_z
Li1 Li 0.0000 0.0000 0.0000
Al1 Al 0.1013 0.5000 0.5225
Al2 Al 0.2024 0.0000 0.0430
H1 H 0.3282 0.5000 0.0796
H2 H 0.4617 0.5000 0.4745
O1 O 0.0238 0.0000 0.5107
O2 O 0.1138 0.5000 0.0255
O3 O 0.1741 0.0000 0.5377
O4 O 0.2678 0.5000 0.0557
```

Summary:
As for the electronic total energy: -5.937 eV per atom.


(7)
Density functional theory data (GGA-PBE) for a geometry-optimized LiAlSi2H2O7 structure.

```
data_LiAlSi2H2O7
_chemical_formula_sum 'Li2 Al2 Si4 H4 O14'
_cell_length_a 6.9343
_cell_length_b 7.1739
_cell_length_c 7.6214
_cell_angle_alpha 90.04
_cell_angle_beta 116.55
_cell_angle_gamma 112.21
_symmetry_space_group_name_H-M 'P 1'
_symmetry_Int_Tables_number 1
loop_
_symmetry_equiv_pos_as_xyz
'x,y,z'
loop_
_atom_site_label
_atom_site_type_symbol
_atom_site_fract_x
_atom_site_fract_y
_atom_site_fract_z
Li1 Li 0.0000 0.0000 0.0000
Li2 Li 0.0978 0.3917 0.0272
Al1 Al 0.4320 0.7606 0.1455
Al2 Al 0.9741 0.2676 0.4019
Si1 Si 0.0133 0.6331 0.2746
Si2 Si 0.3992 0.7638 0.7106
Si3 Si 0.5240 0.3367 0.2583
Si4 Si 0.6866 0.1056 0.6074
H1 H 0.1213 0.2250 0.6134
H2 H 0.3773 0.1141 0.9668
H3 H 0.6232 0.6056 0.7010
H4 H 0.9482 0.8012 0.2935
O1 O 0.1003 0.2412 0.2399
O2 O 0.1462 0.6714 0.1402
O3 O 0.1758 0.5896 0.5031
O4 O 0.3450 0.7780 0.8911
O5 O 0.3494 0.1183 0.0810
O6 O 0.3502 0.2766 0.3793
O7 O 0.4396 0.9758 0.6186
O8 O 0.4777 0.5335 0.1735
O9 O 0.6375 0.7139 0.7896
O10 O 0.6430 0.9097 0.4375
O11 O 0.7226 0.2945 0.4804
O12 O 0.7269 0.9852 0.2864
O13 O 0.7883 0.3990 0.2078
O14 O 0.9025 0.1704 0.8243
```

Summary:
As for the electronic total energy: -6.323 eV per atom.


(8)
Density functional theory data (GGA-PBE) for a geometry-optimized LiAlSi2H2O7 structure.

```
data_LiAlSi2H2O7
_chemical_formula_sum 'Li2 Al2 Si4 H4 O14'
_cell_length_a 5.0282
_cell_length_b 7.6353
_cell_length_c 8.5210
_cell_angle_alpha 67.93
_cell_angle_beta 87.91
_cell_angle_gamma 87.64
_symmetry_space_group_name_H-M 'P 1'
_symmetry_Int_Tables_number 1
loop_
_symmetry_equiv_pos_as_xyz
'x,y,z'
loop_
_atom_site_label
_atom_site_type_symbol
_atom_site_fract_x
_atom_site_fract_y
_atom_site_fract_z
Li1 Li 0.0000 0.0000 0.0000
Li2 Li 0.4814 0.2857 0.4080
Al1 Al 0.4740 0.2286 0.0891
Al2 Al 0.9789 0.2694 0.5996
Si1 Si 0.3477 0.6706 0.8522
Si2 Si 0.4856 0.0864 0.7990
Si3 Si 0.8631 0.6834 0.6165
Si4 Si 0.9757 0.0978 0.3281
H1 H 0.4088 0.6567 0.2762
H2 H 0.5289 0.5455 0.1670
H3 H 0.8123 0.5596 0.4108
H4 H 0.9572 0.6736 0.0080
O1 O 0.0836 0.6251 0.7595
O2 O 0.1124 0.2194 0.4269
O3 O 0.1165 0.7477 0.9893
O4 O 0.1704 0.1050 0.1678
O5 O 0.1750 0.1683 0.7777
O6 O 0.4547 0.4766 0.0087
O7 O 0.5167 0.8651 0.8284
O8 O 0.5494 0.5639 0.2783
O9 O 0.5623 0.6442 0.6849
O10 O 0.6214 0.1181 0.9577
O11 O 0.6479 0.2050 0.6239
O12 O 0.6810 0.1854 0.2637
O13 O 0.9304 0.8815 0.4621
O14 O 0.9328 0.5289 0.5103
```

Summary:
As for the electronic total energy: -6.777 eV per atom.